The following is a DFT calculation (PBE) of a relaxed structure of BaUMnS6.

```
BaUMnS6
1.0
-1.3812 4.5205 4.2327
2.9058 -3.3566 4.5330
10.1753 5.4427 -2.4924
Ba U Mn S
2 2 2 12
Cartesian
5.9565 3.3602 3.1105 Ba
0.1065 0.0570 -0.0261 Ba
2.4660 1.4932 3.9655 U
6.7913 3.6326 -1.6635 U
9.3016 5.1495 2.2912 Mn
3.4516 1.8462 -0.8455 Mn
7.1622 0.6055 3.2666 S
4.2960 5.8718 3.0659 S
10.5641 5.7671 0.4674 S
11.0694 6.1528 3.3726 S
4.1418 -0.4684 3.9345 S
1.7324 3.9588 3.7658 S
7.6909 4.2117 0.6844 S
8.3586 4.7214 4.5234 S
7.6416 7.0017 2.3340 S
9.9516 2.7571 2.4957 S
4.0605 2.4264 5.6822 S
3.3574 1.8897 1.6399 S
```

SG = P4_2nm, No. 102
formation energy from raw total energies = -921 meV per atom